1.
Entry from Alexandria: a geometry-optimized TaInSi2 structure (PBE).

Computed properties:
- Density of states at the Fermi level: 0.424 states/eV per atom
- Formation energy without anion corrections: 0.203 eV per atom

a = 2.951 Å, b = 2.951 Å, c = 8.395 Å
α = 90.00°, β = 90.00°, γ = 90.00°
Space group P4/mmm (No. 123)
Asymmetric unit:
Ta  0.000  0.000  0.000 x1
In  0.000  0.000  0.500 x1
Si  0.500  0.500  0.219 x2



2.
Entry from Alexandria: a geometry-optimized TaIn2Si structure (PBE).

Computed properties:
- Density of states at the Fermi level: 0.670 states/eV per atom
- Formation energy without anion corrections: 0.375 eV per atom

a = 5.646 Å, b = 8.974 Å, c = 3.097 Å
α = 90.00°, β = 90.54°, γ = 90.00°
Space group C2/m (No. 12)
Asymmetric unit:
Ta  0.000  0.000  0.000 x2
In  0.250  0.250  0.500 x4
Si  0.000  0.500  0.000 x2



3.
Entry from Alexandria: a geometry-optimized TaIn2Si structure (PBE).

Computed properties:
- Density of states at the Fermi level: 0.836 states/eV per atom
- Formation energy without anion corrections: 0.432 eV per atom

a = 3.2102 Å, b = 3.2102 Å, c = 27.2219 Å
α = 90.00°, β = 90.00°, γ = 120.00°
Space group R-3m (No. 166, hexagonal axes)
Asymmetric unit:
Ta  0.0000  0.0000  0.0000 x3
In  0.0000  0.0000  0.2466 x6
Si  0.0000  0.0000  0.5000 x3



4.
Entry from Alexandria: a geometry-optimized TaIn2Si structure (PBE).

Computed properties:
- Density of states at the Fermi level: 0.530 states/eV per atom
- Formation energy without anion corrections: 0.332 eV per atom

a = 4.021 Å, b = 4.021 Å, c = 9.501 Å
α = 90.00°, β = 90.00°, γ = 90.00°
Space group I4/mmm (No. 139)
Asymmetric unit:
Ta  0.000  0.000  0.000 x2
In  0.000  0.500  0.250 x4
Si  0.000  0.000  0.500 x2



Copy entry 2 word for word.
Entry from Alexandria: a geometry-optimized TaIn2Si structure (PBE).

Computed properties:
- Density of states at the Fermi level: 0.670 states/eV per atom
- Formation energy without anion corrections: 0.375 eV per atom

a = 5.646 Å, b = 8.974 Å, c = 3.097 Å
α = 90.00°, β = 90.54°, γ = 90.00°
Space group C2/m (No. 12)
Asymmetric unit:
Ta  0.000  0.000  0.000 x2
In  0.250  0.250  0.500 x4
Si  0.000  0.500  0.000 x2



> Which of these has the lowest density of states at the Fermi level?

TaInSi2



> What is the formula in the second record?

TaIn2Si